Arrangement A

A relaxed structure of In2PtCl. Source: the Alexandria database, functional PBE.

Calculated values
The volume comes out at 96.2 Å³/f.u. For the magnetization, the calculation gives 0.00 Bohr magnetons per cell.

a = 3.8566 Å, b = 3.8566 Å, c = 22.4027 Å
α = 90.00°, β = 90.00°, γ = 120.00°
Space group R-3m (No. 166, hexagonal axes)
One atom of each set of equivalent atoms:
In1 0.0000 0.0000 0.2363 [6 per cell]
Pt1 0.0000 0.0000 0.5000 [3 per cell]
Cl1 0.0000 0.0000 0.0000 [3 per cell]

***

Arrangement B

A relaxed structure of In2PtCl. Source: the Alexandria database, functional PBE.

Calculated values
The volume comes out at 84.8 Å³/f.u. For the magnetization, the calculation gives 0.00 Bohr magnetons per cell.

a = 5.004 Å, b = 3.101 Å, c = 10.923 Å
α = 90.00°, β = 90.00°, γ = 90.00°
Space group Amm2 (No. 38)
One atom of each set of equivalent atoms:
In1 0.000 0.000 0.000 [2 per cell]
In2 0.500 0.000 0.248 [2 per cell]
Pt1 0.000 0.000 0.737 [2 per cell]
Cl1 0.500 0.000 0.494 [2 per cell]

***

Arrangement C

A relaxed structure of In2PtCl. Source: the Alexandria database, functional PBE.

Calculated values
The volume comes out at 95.6 Å³/f.u. For the magnetization, the calculation gives 0.00 Bohr magnetons per cell.

a = 4.152 Å, b = 5.889 Å, c = 7.820 Å
α = 90.00°, β = 90.00°, γ = 90.00°
Space group Immm (No. 71)
One atom of each set of equivalent atoms:
In1 0.000 0.000 0.225 [4 per cell]
Pt1 0.000 0.500 0.500 [2 per cell]
Cl1 0.000 0.500 0.000 [2 per cell]

***

Which of them is the most stable? Correct choice: arrangement A.

***

Arrangement A

A relaxed structure of In2PtCl. Source: the Alexandria database, functional PBE.

Calculated values
The volume comes out at 105.6 Å³/f.u. For the magnetization, the calculation gives 0.00 Bohr magnetons per cell.

a = 3.701 Å, b = 3.701 Å, c = 7.711 Å
α = 90.00°, β = 90.00°, γ = 90.00°
Space group P4mm (No. 99)
One atom of each set of equivalent atoms:
In1 0.000 0.000 0.000 [1 per cell]
In2 0.500 0.500 0.432 [1 per cell]
Pt1 0.000 0.000 0.347 [1 per cell]
Cl1 0.500 0.500 0.791 [1 per cell]

***

Arrangement B

A relaxed structure of In2PtCl. Source: the Alexandria database, functional PBE.

Calculated values
The volume comes out at 132.0 Å³/f.u. For the magnetization, the calculation gives 0.00 Bohr magnetons per cell.

a = 6.485 Å, b = 6.485 Å, c = 12.555 Å
α = 90.00°, β = 90.00°, γ = 90.00°
Space group I-42d (No. 122)
One atom of each set of equivalent atoms:
In1 0.201 0.250 0.125 [8 per cell]
Pt1 0.000 0.000 0.000 [4 per cell]
Cl1 0.000 0.000 0.500 [4 per cell]

***

Which of them is the most stable? Correct choice: arrangement A.